[1]
Material: RbAgGeTe3
Method: DFT, PBE
State: relaxed

```
data_RbAgGeTe3
_chemical_formula_sum 'Rb2 Ag2 Ge2 Te6'
_space_group_name_H-M_alt 'P 1'
_space_group_IT_number 1
_space_group_name_Hall 'P 1'
_cell_length_a 8.664
_cell_length_b 8.664
_cell_length_c 11.756
_cell_angle_alpha 90.00
_cell_angle_beta 90.00
_cell_angle_gamma 154.28
loop_
_atom_site_label
_atom_site_type_symbol
_atom_site_fract_x
_atom_site_fract_y
_atom_site_fract_z
_atom_site_occupancy
Rb1 Rb 0.244 0.756 0.750 1
Rb2 Rb 0.756 0.244 0.250 1
Ag1 Ag 0.069 0.931 0.250 1
Ag2 Ag 0.931 0.069 0.750 1
Ge1 Ge 0.500 0.500 0.000 1
Ge2 Ge 0.500 0.500 0.500 1
Te1 Te 0.125 0.875 0.029 1
Te2 Te 0.125 0.875 0.471 1
Te3 Te 0.446 0.554 0.250 1
Te4 Te 0.554 0.446 0.750 1
Te5 Te 0.875 0.125 0.529 1
Te6 Te 0.875 0.125 0.971 1
```

=====

[2]
# Re2AgGe (PBE, relaxed)
data_Re2AgGe
_chemical_formula_sum 'Re2 Ag1 Ge1'
_space_group_name_H-M_alt 'P 1'
_space_group_IT_number 1
_space_group_name_Hall 'P 1'
_cell_length_a 4.454
_cell_length_b 4.454
_cell_length_c 4.454
_cell_angle_alpha 60.00
_cell_angle_beta 60.00
_cell_angle_gamma 60.00
loop_
_atom_site_label
_atom_site_type_symbol
_atom_site_fract_x
_atom_site_fract_y
_atom_site_fract_z
_atom_site_occupancy
Re1 Re 0.000 0.000 0.000 1
Re2 Re 0.250 0.250 0.250 1
Ag1 Ag 0.750 0.750 0.750 1
Ge1 Ge 0.500 0.500 0.500 1
# Magnetic moment = 0.006 μB/f.u.

=====

[3]
# ReAgGe2 (PBE, relaxed)
data_ReAgGe2
_chemical_formula_sum 'Re1 Ag1 Ge2'
_space_group_name_H-M_alt 'P 1'
_space_group_IT_number 1
_space_group_name_Hall 'P 1'
_cell_length_a 4.565
_cell_length_b 4.565
_cell_length_c 4.565
_cell_angle_alpha 60.00
_cell_angle_beta 60.00
_cell_angle_gamma 60.00
loop_
_atom_site_label
_atom_site_type_symbol
_atom_site_fract_x
_atom_site_fract_y
_atom_site_fract_z
_atom_site_occupancy
Re1 Re 0.000 0.000 0.000 1
Ag1 Ag 0.250 0.250 0.250 1
Ge1 Ge 0.500 0.500 0.500 1
Ge2 Ge 0.750 0.750 0.750 1
# Magnetic moment = 0.171 μB/f.u.

=====

[4]
# ReAgGe (PBE, relaxed)
data_ReAgGe
_chemical_formula_sum 'Re1 Ag1 Ge1'
_space_group_name_H-M_alt 'P 1'
_space_group_IT_number 1
_space_group_name_Hall 'P 1'
_cell_length_a 4.210
_cell_length_b 4.210
_cell_length_c 4.210
_cell_angle_alpha 60.00
_cell_angle_beta 60.00
_cell_angle_gamma 60.00
loop_
_atom_site_label
_atom_site_type_symbol
_atom_site_fract_x
_atom_site_fract_y
_atom_site_fract_z
_atom_site_occupancy
Re1 Re 0.000 0.000 0.000 1
Ag1 Ag 0.500 0.500 0.500 1
Ge1 Ge 0.750 0.750 0.750 1
# Polymorph energy (0 for the lowest one) = 0.000 kcal/mol of atoms
# Magnetic moment = 0.042 μB/f.u.

=====

For each record above, in turn, the calculated uncorrected energy values are -0.23650, -0.54399, -0.39086, -0.43276 Ry/atom.